DFT (PBE-GGA) results for an optimized crystal structure of Li4GaPb.

Output
Calculated formation energy (eV/atom): -0.22

The structure in CIF format:
```
data_Li4GaPb
_chemical_formula_sum 'Li8 Ga2 Pb2'
_cell_length_a 4.6512
_cell_length_b 6.9429
_cell_length_c 7.2957
_cell_angle_alpha 90.00
_cell_angle_beta 108.59
_cell_angle_gamma 90.00
_space_group_name_H-M_alt 'P 1'
_space_group_IT_number 1
loop_
_space_group_symop_operation_xyz
'x,y,z'
loop_
_atom_site_label
_atom_site_fract_x
_atom_site_fract_y
_atom_site_fract_z
Li1 0.9847 0.2130 0.9694
Li2 0.0153 0.7130 0.0306
Li3 0.4808 0.9469 0.9616
Li4 0.5192 0.4469 0.0384
Li5 0.8053 0.4526 0.6106
Li6 0.1947 0.9526 0.3894
Li7 0.6645 0.1548 0.3290
Li8 0.3355 0.6548 0.6710
Ga1 0.6442 0.7421 0.2884
Ga2 0.3558 0.2421 0.7116
Pb1 0.8397 0.9239 0.6794
Pb2 0.1603 0.4239 0.3206
```

DFT (PBE-GGA) results for an optimized crystal structure of CsLaPbCl6.

Output
E_form (uncorrected) (eV/atom): -1.86

The structure in CIF format:
```
data_CsLaPbCl6
_chemical_formula_sum 'Cs2 La2 Pb2 Cl12'
_cell_length_a 10.5550
_cell_length_b 10.1391
_cell_length_c 10.4276
_cell_angle_alpha 119.09
_cell_angle_beta 120.41
_cell_angle_gamma 90.00
_space_group_name_H-M_alt 'P 1'
_space_group_IT_number 1
loop_
_space_group_symop_operation_xyz
'x,y,z'
loop_
_atom_site_label
_atom_site_fract_x
_atom_site_fract_y
_atom_site_fract_z
Cs1 0.8190 0.5690 0.6381
Cs2 0.1810 0.4310 0.3619
La1 0.5000 0.0000 0.5000
La2 0.0000 0.0000 0.5000
Pb1 0.5000 0.5000 0.0000
Pb2 0.5000 0.0000 0.0000
Cl1 0.4107 0.6607 0.8215
Cl2 0.8161 0.0661 0.6322
Cl3 0.8343 0.0824 0.2576
Cl4 0.4233 0.6752 0.2576
Cl5 0.4233 0.0824 0.2576
Cl6 0.8343 0.6752 0.2576
Cl7 0.5893 0.3393 0.1785
Cl8 0.1839 0.9339 0.3678
Cl9 0.1657 0.9176 0.7424
Cl10 0.5767 0.3248 0.7424
Cl11 0.5767 0.9176 0.7424
Cl12 0.1657 0.3248 0.7424
```

DFT (PBE-GGA) results for an optimized crystal structure of LaNdCdHg.

Output
Calculated formation energy (eV/atom): -0.40

The structure in CIF format:
```
data_LaNdCdHg
_chemical_formula_sum 'La1 Nd1 Cd1 Hg1'
_cell_length_a 5.4964
_cell_length_b 5.4964
_cell_length_c 5.4964
_cell_angle_alpha 60.00
_cell_angle_beta 60.00
_cell_angle_gamma 60.00
_space_group_name_H-M_alt 'P 1'
_space_group_IT_number 1
loop_
_space_group_symop_operation_xyz
'x,y,z'
loop_
_atom_site_label
_atom_site_fract_x
_atom_site_fract_y
_atom_site_fract_z
Cd1 0.7500 0.7500 0.7500
Nd1 0.5000 0.5000 0.5000
Hg1 0.2500 0.2500 0.2500
La1 0.0000 0.0000 0.0000
```

DFT (PBE-GGA) results for an optimized crystal structure of BaBiF.

Output
E_form (uncorrected) (eV/atom): -2.06

The structure in CIF format:
```
data_BaBiF
_chemical_formula_sum 'Ba2 Bi2 F2'
_cell_length_a 5.1007
_cell_length_b 5.1007
_cell_length_c 9.2488
_cell_angle_alpha 73.99
_cell_angle_beta 73.99
_cell_angle_gamma 60.00
_space_group_name_H-M_alt 'P 1'
_space_group_IT_number 1
loop_
_space_group_symop_operation_xyz
'x,y,z'
loop_
_atom_site_label
_atom_site_fract_x
_atom_site_fract_y
_atom_site_fract_z
F1 0.3022 0.3022 0.0933
F2 0.6978 0.6978 0.9067
Bi1 0.1520 0.1520 0.5439
Bi2 0.8480 0.8480 0.4561
Ba1 0.3982 0.3982 0.8055
Ba2 0.6018 0.6018 0.1945
```

DFT (PBE-GGA) results for an optimized crystal structure of Ac2NdPd.

Output
Calculated formation energy (eV/atom): 0.15

The structure in CIF format:
```
data_Ac2NdPd
_chemical_formula_sum 'Ac2 Nd1 Pd1'
_cell_length_a 3.7879
_cell_length_b 3.7879
_cell_length_c 11.9820
_cell_angle_alpha 80.91
_cell_angle_beta 80.91
_cell_angle_gamma 60.00
_space_group_name_H-M_alt 'P 1'
_space_group_IT_number 1
loop_
_space_group_symop_operation_xyz
'x,y,z'
loop_
_atom_site_label
_atom_site_fract_x
_atom_site_fract_y
_atom_site_fract_z
Ac1 0.0783 0.0783 0.7651
Ac2 0.9217 0.9217 0.2349
Nd1 0.5000 0.5000 0.5000
Pd1 0.0000 0.0000 0.0000
```

DFT (PBE-GGA) results for an optimized crystal structure of CdCoPt2.

Output
Calculated formation energy (eV/atom): -0.03

The structure in CIF format:
```
data_CdCoPt2
_chemical_formula_sum 'Cd1 Co1 Pt2'
_cell_length_a 4.8079
_cell_length_b 4.8079
_cell_length_c 4.8900
_cell_angle_alpha 79.24
_cell_angle_beta 79.24
_cell_angle_gamma 34.13
_space_group_name_H-M_alt 'P 1'
_space_group_IT_number 1
loop_
_space_group_symop_operation_xyz
'x,y,z'
loop_
_atom_site_label
_atom_site_fract_x
_atom_site_fract_y
_atom_site_fract_z
Cd1 0.2500 0.2500 0.2500
Co1 0.7500 0.7500 0.7500
Pt1 0.0087 0.0087 0.9856
Pt2 0.4913 0.4913 0.5144
```

DFT (PBE-GGA) results for an optimized crystal structure of LaMg2Co.

Output
Calculated formation energy (eV/atom): 0.29

The structure in CIF format:
```
data_LaMg2Co
_chemical_formula_sum 'La1 Mg2 Co1'
_cell_length_a 10.0792
_cell_length_b 10.0792
_cell_length_c 10.0792
_cell_angle_alpha 18.28
_cell_angle_beta 18.28
_cell_angle_gamma 18.28
_space_group_name_H-M_alt 'P 1'
_space_group_IT_number 1
loop_
_space_group_symop_operation_xyz
'x,y,z'
loop_
_atom_site_label
_atom_site_fract_x
_atom_site_fract_y
_atom_site_fract_z
Co1 0.2500 0.2500 0.2500
La1 0.7500 0.7500 0.7500
Mg1 0.9806 0.9806 0.9806
Mg2 0.5194 0.5194 0.5194
```

DFT (PBE-GGA) results for an optimized crystal structure of CaFe2I7.

Output
E_form (uncorrected) (eV/atom): -0.34

The structure in CIF format:
```
data_CaFe2I7
_chemical_formula_sum 'Ca1 Fe2 I7'
_cell_length_a 6.0226
_cell_length_b 10.1513
_cell_length_c 10.1515
_cell_angle_alpha 110.49
_cell_angle_beta 90.00
_cell_angle_gamma 90.00
_space_group_name_H-M_alt 'P 1'
_space_group_IT_number 1
loop_
_space_group_symop_operation_xyz
'x,y,z'
loop_
_atom_site_label
_atom_site_fract_x
_atom_site_fract_y
_atom_site_fract_z
Ca1 0.0000 0.0000 0.0000
Fe1 0.5000 0.2741 0.2741
Fe2 0.5000 0.7259 0.7259
I1 0.0000 0.2613 0.2613
I2 0.0000 0.7387 0.7387
I3 0.5000 0.0320 0.2977
I4 0.5000 0.9680 0.7023
I5 0.5000 0.7023 0.9680
I6 0.5000 0.2977 0.0320
I7 0.5000 0.5000 0.5000
```

DFT (PBE-GGA) results for an optimized crystal structure of CeTmZrPa.

Output
Calculated formation energy (eV/atom): 0.27

The structure in CIF format:
```
data_CeTmZrPa
_chemical_formula_sum 'Ce1 Tm1 Zr1 Pa1'
_cell_length_a 5.2804
_cell_length_b 5.2804
_cell_length_c 5.2804
_cell_angle_alpha 60.00
_cell_angle_beta 60.00
_cell_angle_gamma 60.00
_space_group_name_H-M_alt 'P 1'
_space_group_IT_number 1
loop_
_space_group_symop_operation_xyz
'x,y,z'
loop_
_atom_site_label
_atom_site_fract_x
_atom_site_fract_y
_atom_site_fract_z
Pa1 0.0000 0.0000 0.0000
Tm1 0.5000 0.5000 0.5000
Zr1 0.2500 0.2500 0.2500
Ce1 0.7500 0.7500 0.7500
```

DFT (PBE-GGA) results for an optimized crystal structure of TiZnTe.

Output
E_form (uncorrected) (eV/atom): -0.32

The structure in CIF format:
```
data_TiZnTe
_chemical_formula_sum 'Ti2 Zn2 Te2'
_cell_length_a 4.4115
_cell_length_b 6.5901
_cell_length_c 4.1575
_cell_angle_alpha 90.00
_cell_angle_beta 90.00
_cell_angle_gamma 90.00
_space_group_name_H-M_alt 'P 1'
_space_group_IT_number 1
loop_
_space_group_symop_operation_xyz
'x,y,z'
loop_
_atom_site_label
_atom_site_fract_x
_atom_site_fract_y
_atom_site_fract_z
Zn1 0.0000 0.2250 0.0000
Zn2 0.5000 0.7750 0.5000
Te1 0.0000 0.7968 0.0000
Te2 0.5000 0.2032 0.5000
Ti1 0.0000 0.4981 0.5000
Ti2 0.5000 0.5019 0.0000
```

DFT (PBE-GGA) results for an optimized crystal structure of MgSi2O.

Output
E_form (uncorrected) (eV/atom): -0.27

The structure in CIF format:
```
data_MgSi2O
_chemical_formula_sum 'Mg2 Si4 O2'
_cell_length_a 4.5819
_cell_length_b 4.5819
_cell_length_c 7.0626
_cell_angle_alpha 71.07
_cell_angle_beta 71.07
_cell_angle_gamma 90.00
_space_group_name_H-M_alt 'P 1'
_space_group_IT_number 1
loop_
_space_group_symop_operation_xyz
'x,y,z'
loop_
_atom_site_label
_atom_site_fract_x
_atom_site_fract_y
_atom_site_fract_z
Si1 0.4771 0.1250 0.2500
Si2 0.2729 0.6250 0.2500
Si3 0.3750 0.5229 0.7500
Si4 0.8750 0.7271 0.7500
Mg1 0.0000 0.0000 0.0000
Mg2 0.7500 0.2500 0.5000
O1 0.5000 0.5000 0.0000
O2 0.2500 0.7500 0.5000
```

DFT (PBE-GGA) results for an optimized crystal structure of KBe2Os.

Output
Calculated formation energy (eV/atom): 0.52

The structure in CIF format:
```
data_KBe2Os
_chemical_formula_sum 'K1 Be2 Os1'
_cell_length_a 3.9056
_cell_length_b 2.6469
_cell_length_c 7.2957
_cell_angle_alpha 89.64
_cell_angle_beta 90.00
_cell_angle_gamma 90.00
_space_group_name_H-M_alt 'P 1'
_space_group_IT_number 1
loop_
_space_group_symop_operation_xyz
'x,y,z'
loop_
_atom_site_label
_atom_site_fract_x
_atom_site_fract_y
_atom_site_fract_z
Be1 0.0000 0.1254 0.9344
Be2 0.5000 0.1225 0.1483
K1 0.0000 0.6257 0.5202
Os1 0.5000 0.6264 0.8972
```

We obtain size of the total moment values of 0.00; 0.00; 0.90; 0.00; 0.00; 1.95; 1.37; 9.02; 0.00; 0.00; 0.00; 0.00 Bohr magnetons per cell for the records listed above, in that order.